CsK3Ti (PBE, optimized geometry); energy of formation = 1.34 eV/atom; space-group type = No. 221
1.0
-4.266 0.285 -5.997
5.365 -3.121 -3.965
-2.695 -6.665 1.600
K Ti Cs
3 1 1
direct
0.000 0.000 0.500 K
0.000 0.500 0.000 K
0.500 0.000 0.000 K
0.500 0.500 0.500 Ti
0.000 0.000 0.000 Cs